A relaxed structure of CrCo2Tc, computed with GGA-PBE.

Structure (CIF):
```
data_CrCo2Tc
_chemical_formula_sum 'Cr2 Co4 Tc2'
_cell_length_a 3.563
_cell_length_b 3.563
_cell_length_c 7.359
_cell_angle_alpha 90.00
_cell_angle_beta 90.00
_cell_angle_gamma 90.00
_space_group_name_H-M_alt 'I 4/m m m'
_space_group_IT_number 139
_space_group_name_Hall '-I 4 2'
loop_
_atom_site_label
_atom_site_type_symbol
_atom_site_fract_x
_atom_site_fract_y
_atom_site_fract_z
_atom_site_occupancy
Cr1 Cr 0.000 0.000 0.000 1
Co1 Co 0.000 0.500 0.250 1
Tc1 Tc 0.000 0.000 0.500 1
```

Output
- Final energy: -68.105 eV/cell
- Total moment: 0.18 Bohr magnetons per cell
- Polymorph energy (0 for the lowest one): 42 meV per atom
- Crystal system: tetragonal
- DFT formation energy: 0.0371 eV/atom